DFT (PBE+U) results for crystalline Fe2BiSbO7 at its relaxed geometry.

Cell lengths 7.3770, 7.3770, 7.3770 Å; angles 120.59, 119.27, 90.13 degrees
Sites, in units of the cell vectors:
Fe 0.0000 0.0000 0.0000
Fe 0.5000 0.0000 0.0000
Fe 0.5000 0.0000 0.5000
Fe 0.5000 0.5000 0.5000
Bi 0.0000 0.5000 0.5000
Bi 0.5000 0.5000 0.0000
Sb 0.0000 0.0000 0.5000
Sb 0.0000 0.5000 0.0000
O 0.0605 0.8105 0.2500
O 0.0703 0.3974 0.2227
O 0.0703 0.8477 0.6729
O 0.3253 0.1523 0.7227
O 0.3253 0.6026 0.1729
O 0.3533 0.6033 0.7500
O 0.3646 0.1146 0.2500
O 0.6354 0.8854 0.7500
O 0.6467 0.3967 0.2500
O 0.6747 0.3974 0.8271
O 0.6747 0.8477 0.2773
O 0.9297 0.1523 0.3271
O 0.9297 0.6026 0.7773
O 0.9395 0.1895 0.7500

N(E_F)   5.40 states/eV/cell
Energy   -0.22124 hartree per atom